Compound: VCd2F8
Source: Alexandria via LeMat-Bulk
Functional: PBE+U
Structure: relaxed

Cell lengths 5.7090, 5.7090, 7.9771 Å; angles 103.59, 103.59, 38.59 degrees
Element x y z (fractional)
V1 0.0000 0.0000 0.0000
Cd1 0.2409 0.2409 0.6904
Cd2 0.7591 0.7591 0.3096
F1 0.0668 0.0668 0.8031
F2 0.1826 0.1826 0.1199
F3 0.3319 0.3319 0.4575
F4 0.4467 0.4467 0.8630
F5 0.5533 0.5533 0.1370
F6 0.6681 0.6681 0.5425
F7 0.8174 0.8174 0.8801
F8 0.9332 0.9332 0.1969

Properties
E_tot, eV/atom: -4.47
Spin magnetization, μB/cell: 0.990
Symmetry: C2/m, No. 12